# 1
Entry from Alexandria via LeMat-Bulk: Tl5Co4 after structural relaxation (PBE-GGA).

a = 10.7938 Å, b = 10.7938 Å, c = 3.5048 Å
α = 90.00°, β = 90.00°, γ = 90.00°
Space group I4/mmm (No. 139)
Symmetry-distinct sites (fractional):
Tl 0.0000 0.0000 0.0000
Tl 0.1696 0.1696 0.5000
Co 0.0000 0.3905 0.0000

Calculated values
- ΔE to the lowest computed polymorph (meV/atom) = 0

***

# 2
Entry from Alexandria via LeMat-Bulk: TlCo2 after structural relaxation (PBE-GGA).

a = 2.9892 Å, b = 2.9892 Å, c = 10.2782 Å
α = 90.00°, β = 90.00°, γ = 90.00°
Space group I4/mmm (No. 139)
Symmetry-distinct sites (fractional):
Tl 0.0000 0.0000 0.0000
Co 0.0000 0.0000 0.3068

***

# 3
Entry from Alexandria via LeMat-Bulk: TlCo after structural relaxation (PBE-GGA).

a = 3.8580 Å, b = 3.9804 Å, c = 5.2418 Å
α = 90.00°, β = 111.50°, γ = 90.00°
Space group P2_1/m (No. 11)
Symmetry-distinct sites (fractional):
Tl 0.1500 0.2500 0.3019
Co 0.4396 0.2500 0.8817

***

# 4
Entry from Alexandria via LeMat-Bulk: Tl3Co2 after structural relaxation (PBE-GGA).

a = 4.6020 Å, b = 4.6020 Å, c = 5.4766 Å
α = 90.00°, β = 90.00°, γ = 120.00°
Space group P-3m1 (No. 164)
Symmetry-distinct sites (fractional):
Tl 0.0000 0.0000 0.0000
Tl 0.3333 0.6667 0.3676
Co 0.3333 0.6667 0.8838

Calculated values
- ΔE to the lowest computed polymorph (meV/atom) = 0

***

Number 1: calculated volume 204 Å³/f.u., E_tot -3.8655 eV/atom, formation enthalpy at 0 K 0.61 eV per atom. Number 2: calculated volume 46 Å³/f.u., E_tot -5.0328 eV/atom, formation enthalpy at 0 K 0.49 eV per atom. Number 3: calculated volume 37 Å³/f.u., E_tot -4.2329 eV/atom, formation enthalpy at 0 K 0.50 eV per atom. Number 4: calculated volume 100 Å³/f.u., E_tot -3.7886 eV/atom, formation enthalpy at 0 K 0.47 eV per atom.